NiGe2Pt2 (GGA-PBE, optimized geometry); energy above the most stable polymorph in this dataset = 0 meV/atom; symmetry = No. 127; magnetization = 0.000 μB/atom; electronic total energy = -27.6 eV per formula unit; crystal system = tetragonal; formation energy from the elements = -0.1088 eV per atom
1.0
6.740 0.000 0.000
0.000 6.740 0.000
0.000 0.000 3.396
Ni Ge Pt
2 4 4
Cartesian
0.000 0.000 0.000
3.370 3.370 0.000
1.043 2.327 0.000
2.327 5.697 0.000
4.413 1.043 0.000
5.697 4.413 0.000
0.993 4.363 1.698
2.377 0.993 1.698
4.363 5.747 1.698
5.747 2.377 1.698